{
  "formula": "Nb4AgBi5O18",
  "functional": "PBE",
  "state": "optimized geometry",
  "n_ef_per_ev_fu": 0.0,
  "magnetic_moment_mub_per_atom": 0.000,
  "vol_a3_per_atom": 14.3,
  "density_g_cm3": 7.52,
  "total_energy_ev_per_atom": -7.29,
  "lattice": [[12.991, -0.009, -0.001], [-11.790, 5.454, -0.001], [0.016, 0.073, 5.656]],
  "species": ["O", "O", "O", "O", "O", "O", "O", "O", "O", "O", "O", "O", "O", "O", "O", "O", "O", "O", "Nb", "Nb", "Nb", "Nb", "Bi", "Bi", "Bi", "Bi", "Bi", "Ag"],
  "frac_coords": [[0.679, 0.679, 0.603], [0.269, 0.766, 0.742], [0.890, 0.021, 0.288], [0.334, 0.334, 0.109], [0.327, 0.017, 0.068], [0.991, 0.682, 0.587], [0.637, 0.467, 0.875], [0.738, 0.239, 0.244], [0.682, 0.991, 0.587], [0.239, 0.738, 0.244], [0.467, 0.637, 0.875], [0.552, 0.363, 0.366], [0.971, 0.097, 0.802], [0.766, 0.269, 0.742], [0.363, 0.552, 0.366], [0.017, 0.327, 0.068], [0.021, 0.890, 0.288], [0.097, 0.971, 0.802], [0.162, 0.327, 0.051], [0.821, 0.653, 0.542], [0.327, 0.162, 0.051], [0.653, 0.821, 0.542], [0.586, 0.986, 0.960], [0.024, 0.424, 0.460], [0.424, 0.024, 0.460], [0.986, 0.586, 0.960], [0.734, 0.734, 0.999], [0.241, 0.241, 0.538]]
}